Compound: Ac3Te3O
Source: Alexandria
Functional: PBE
Structure: relaxed

The structure in extended XYZ format:
```
14
Lattice="-5.6618 5.0295 2.8744 -3.3678 -6.7181 -3.0232 2.0739 -3.1427 7.0668" Properties=species:S:1:pos:R:3 pbc="T T T"
O -1.2659 -0.7349 0.9714
Te -2.1854 -2.7373 4.6025
Ac -2.4638 0.3258 2.8602
Ac -7.7643 -2.0661 1.0954
Te -4.7702 -2.0940 2.3155
Ac 0.8087 -2.7651 5.8225
O -5.6897 -4.0964 5.9465
Te -3.9166 -3.9075 -1.6122
Te -4.2543 1.5606 5.4552
Ac -5.1708 -1.6803 5.8032
Te -5.1130 2.2189 1.4634
Ac -4.4918 -5.1571 4.0577
Te -2.7014 -6.3919 1.4628
Ac -1.7849 -3.1510 1.1148
```

Values from the calculation:
Its size of the total moment is 0.002 μB per formula unit. The calculation puts the total energy at -5.7456 eV/atom.